*1*
Crystalline Ce2NdSb at its relaxed geometry. Source: Alexandria, functional PBE-GGA.

Cell lengths 4.4962, 4.4024, 11.7622 Å; angles 90.00, 100.48, 90.00 degrees
Fractional coordinates of all 8 atoms:
Ce1 0.9996 0.7500 0.1165
Ce2 0.5999 0.2500 0.1124
Ce3 0.4001 0.7500 0.8876
Ce4 0.0004 0.2500 0.8835
Sb1 0.8259 0.7500 0.6706
Sb2 0.1741 0.2500 0.3294
Nd1 0.6975 0.7500 0.3896
Nd2 0.3025 0.2500 0.6104

Results
magnetic moment: 0.0 μB/f.u.

*2*
Crystalline Ce2NdSb at its relaxed geometry. Source: Alexandria, functional PBE-GGA.

Cell lengths 4.2152, 4.2152, 6.8665 Å; angles 90.00, 90.00, 90.00 degrees
Site moments in Bohr magnetons follow the coordinates.
Fractional coordinates of all 4 atoms:
Ce1 0.0000 0.0000 0.3051  0.55
Ce2 0.0000 0.0000 0.6949  0.55
Nd1 0.5000 0.5000 0.0000  -0.01
Sb1 0.5000 0.5000 0.5000  -0.01

Results
magnetic moment: 1.2 μB/f.u.

*3*
Crystalline Ce2NdSb at its relaxed geometry. Source: Alexandria, functional PBE-GGA.

Cell lengths 5.4655, 5.4655, 5.4655 Å; angles 60.00, 60.00, 60.00 degrees
Site moments in Bohr magnetons follow the coordinates.
Fractional coordinates of all 4 atoms:
Nd1 0.0000 0.0000 0.0000  0.28
Ce1 0.7500 0.7500 0.7499  0.68
Ce2 0.2500 0.2500 0.2501  0.68
Sb1 0.5000 0.5000 0.5000  -0.01

Results
magnetic moment: 2.1 μB/f.u.

What should be chosen as the least stable of them? Choose *3*.

*1*
Crystalline CeNdSbTe at its relaxed geometry. Source: Alexandria, functional PBE-GGA.

Cell lengths 5.4829, 5.4829, 5.4829 Å; angles 60.00, 60.00, 60.00 degrees
Site moments in Bohr magnetons follow the coordinates.
Fractional coordinates of all 4 atoms:
Nd1 0.5000 0.5000 0.5000  0.31
Sb1 0.2500 0.2500 0.2500  -0.04
Ce1 0.0000 0.0000 0.0000  1.01
Te1 0.7500 0.7500 0.7500  -0.04

Results
magnetic moment: 1.9 μB/f.u.

*2*
Crystalline CeNdSbTe at its relaxed geometry. Source: Alexandria, functional PBE-GGA.

Cell lengths 4.5048, 4.5048, 7.8452 Å; angles 73.32, 73.32, 60.00 degrees
Site moments in Bohr magnetons follow the coordinates.
Fractional coordinates of all 4 atoms:
Ce1 0.4464 0.4464 0.6608  0.94
Nd1 0.9417 0.9417 0.1749  0.03
Sb1 0.1939 0.1939 0.4183  -0.01
Te1 0.6944 0.6944 0.9168  -0.01

Results
magnetic moment: 1.1 μB/f.u.

What should be chosen as the least stable of them? Choose *1*.

*1*
Crystalline CeNdSc at its relaxed geometry. Source: Alexandria, functional PBE-GGA.

Cell lengths 3.4559, 3.4559, 8.4460 Å; angles 90.00, 90.00, 120.00 degrees
Site moments in Bohr magnetons follow the coordinates.
Fractional coordinates of all 3 atoms:
Ce1 0.3333 0.6667 0.6555  0.36
Sc1 0.6667 0.3333 0.3406  0.01
Nd1 0.0000 0.0000 0.0039  -0.01

Results
magnetic moment: 0.4 μB/f.u.

*2*
Crystalline CeNdSc at its relaxed geometry. Source: Alexandria, functional PBE-GGA.

Cell lengths 3.4727, 3.4727, 8.5984 Å; angles 78.35, 78.35, 60.00 degrees
Site moments in Bohr magnetons follow the coordinates.
Fractional coordinates of all 3 atoms:
Ce1 0.3325 0.3325 0.0024  0.34
Sc1 0.1035 0.1035 0.6895  -0.01
Nd1 0.5493 0.5493 0.3520  -0.01

Results
magnetic moment: 0.4 μB/f.u.

What should be chosen as the least stable of them? Choose *1*.

*1*
Crystalline Ce2NdSc at its relaxed geometry. Source: Alexandria, functional PBE-GGA.

Cell lengths 5.0784, 4.7918, 4.7918 Å; angles 90.00, 90.00, 90.00 degrees
Site moments in Bohr magnetons follow the coordinates.
Fractional coordinates of all 4 atoms:
Ce1 0.0000 0.5000 0.0000  0.61
Ce2 0.0000 0.0000 0.5000  0.61
Nd1 0.5000 0.5000 0.5000  0.01
Sc1 0.5000 0.0000 0.0000  0.03

Results
magnetic moment: 1.6 μB/f.u.

*2*
Crystalline Ce2NdSc at its relaxed geometry. Source: Alexandria, functional PBE-GGA.

Cell lengths 5.5607, 5.5607, 5.5607 Å; angles 60.00, 60.00, 60.00 degrees
Site moments in Bohr magnetons follow the coordinates.
Fractional coordinates of all 4 atoms:
Nd1 0.0000 0.0000 0.0000  0.10
Ce1 0.7500 0.7500 0.7500  0.66
Ce2 0.2500 0.2500 0.2500  0.66
Sc1 0.5000 0.5000 0.5000  0.04

Results
magnetic moment: 1.8 μB/f.u.

What should be chosen as the least stable of them? Choose *2*.

*1*
Crystalline Ce2NdSc at its relaxed geometry. Source: Alexandria, functional PBE-GGA.

Cell lengths 3.4213, 3.4213, 10.0018 Å; angles 90.00, 90.00, 90.00 degrees
Site moments in Bohr magnetons follow the coordinates.
Fractional coordinates of all 4 atoms:
Ce1 0.0000 0.0000 0.2368  0.58
Ce2 0.0000 0.0000 0.7632  0.58
Nd1 0.5000 0.5000 0.5000  0.01
Sc1 0.5000 0.5000 0.0000  0.05

Results
magnetic moment: 1.5 μB/f.u.

*2*
Crystalline Ce2NdSc at its relaxed geometry. Source: Alexandria, functional PBE-GGA.

Cell lengths 3.3053, 3.3053, 12.2266 Å; angles 82.23, 82.23, 60.00 degrees
Site moments in Bohr magnetons follow the coordinates.
Fractional coordinates of all 4 atoms:
Ce1 0.9107 0.9107 0.2680  0.27
Ce2 0.0893 0.0893 0.7320  0.27
Nd1 0.0000 0.0000 0.0000  -0.02
Sc1 0.5000 0.5000 0.5000  -0.01

Results
magnetic moment: 0.6 μB/f.u.

What should be chosen as the least stable of them? Choose *2*.

*1*
Crystalline CeNd2Sc at its relaxed geometry. Source: Alexandria, functional PBE-GGA.

Cell lengths 3.5292, 3.5292, 9.9365 Å; angles 90.00, 90.00, 90.00 degrees
Site moments in Bohr magnetons follow the coordinates.
Fractional coordinates of all 4 atoms:
Nd1 0.0000 0.0000 0.2425  -0.01
Nd2 0.0000 0.0000 0.7575  -0.01
Ce1 0.5000 0.5000 0.5000  0.58
Sc1 0.5000 0.5000 0.0000  -0.05

Results
magnetic moment: 0.6 μB/f.u.

*2*
Crystalline CeNd2Sc at its relaxed geometry. Source: Alexandria, functional PBE-GGA.

Cell lengths 5.6346, 5.6346, 5.6346 Å; angles 60.00, 60.00, 60.00 degrees
Site moments in Bohr magnetons follow the coordinates.
Fractional coordinates of all 4 atoms:
Nd1 0.7500 0.7500 0.7500  0.24
Nd2 0.2500 0.2500 0.2500  0.24
Sc1 0.5000 0.5000 0.5000  0.33
Ce1 0.0000 0.0000 0.0000  1.02

Results
magnetic moment: 2.9 μB/f.u.

What should be chosen as the least stable of them? Choose *2*.